Record 1
Entry from the Alexandria database: a relaxed structure of NdHo3Mn (PBE).

Output
- Symmetry: Pm-3m, No. 221
- Formation enthalpy at 0 K: 0.216 eV per atom
- N(E_F): 1.765 states/eV/atom
- Total magnetic moment: 0.64 μB per formula unit

Cell lengths 5.3120, 5.3120, 5.3120 Å; angles 90.00, 90.00, 90.00 degrees
Closest atoms and distances in Å follow each position.
Atoms (fractional coordinates):
Nd  0.0000  0.0000  0.0000  12 Ho 3.76
Ho  0.0000  0.5000  0.5000  2 Mn 2.66
Ho  0.5000  0.0000  0.5000  2 Mn 2.66
Ho  0.5000  0.5000  0.0000  2 Mn 2.66
Mn  0.5000  0.5000  0.5000  6 Ho 2.66

***

Record 2
Entry from the Alexandria database: a relaxed structure of NdHoMn4 (PBE).

Output
- Symmetry: F-43m, No. 216
- Formation enthalpy at 0 K: 0.220 eV per atom
- N(E_F): 1.284 states/eV/atom
- Total magnetic moment: 6.35 μB per formula unit

Cell lengths 5.1922, 5.1922, 5.1922 Å; angles 60.00, 60.00, 60.00 degrees
Closest atoms and distances in Å follow each position.
Atoms (fractional coordinates):
Nd  0.0000  0.0000  0.0000  12 Mn 3.05, 4 Ho 3.18
Ho  0.7500  0.7500  0.7500  12 Mn 3.04, 4 Nd 3.18
Mn  0.3762  0.3762  0.3762  6 Mn 2.57-2.62
Mn  0.3762  0.3762  0.8713  6 Mn 2.57-2.62
Mn  0.3762  0.8713  0.3762  6 Mn 2.57-2.62
Mn  0.8713  0.3762  0.3762  6 Mn 2.57-2.62

***

Record 3
Entry from the Alexandria database: a relaxed structure of Nd2HoMnSe5 (PBE).

Output
- ΔE_f (raw): -1.549 eV/atom
- Symmetry: Cmc2_1, No. 36
- N(E_F): 0.327 states/eV/atom
- Total magnetic moment: 4.34 μB per formula unit

Cell lengths 8.9294, 8.9294, 12.4932 Å; angles 90.00, 90.00, 153.64 degrees
Closest atoms and distances in Å follow each position.
Atoms (fractional coordinates):
Nd  0.1180  0.8820  0.5000  8 Se 3.04-3.31
Nd  0.1213  0.8787  0.8490  8 Se 3.05-3.21
Nd  0.8787  0.1213  0.3490  8 Se 3.05-3.21
Nd  0.8820  0.1180  0.0000  8 Se 3.04-3.31
Ho  0.1820  0.8180  0.1791  6 Se 2.83-2.90
Ho  0.8180  0.1820  0.6791  6 Se 2.83-2.90
Mn  0.4458  0.5542  0.5806  4 Se 2.42-2.54
Mn  0.5542  0.4458  0.0806  4 Se 2.42-2.54
Se  0.0164  0.9836  0.1783  2 Mn 2.46
Se  0.3028  0.6972  0.8402  2 Ho 2.87, 3 Nd 3.16-3.17
Se  0.3078  0.6922  0.5142  1 Mn 2.54
Se  0.3449  0.6551  0.1729  1 Ho 2.83, 4 Nd 3.04-3.05
Se  0.4950  0.5050  0.9054  1 Mn 2.42
Se  0.5050  0.4950  0.4054  1 Mn 2.42
Se  0.6551  0.3449  0.6729  1 Ho 2.83, 4 Nd 3.04-3.05
Se  0.6922  0.3078  0.0142  1 Mn 2.54
Se  0.6972  0.3028  0.3402  2 Ho 2.87, 3 Nd 3.16-3.17
Se  0.9836  0.0164  0.6783  2 Mn 2.46

***

Record 4
Entry from the Alexandria database: a relaxed structure of HoMn2Ni9 (PBE).

Output
- Symmetry: P4/mbm, No. 127
- Formation enthalpy at 0 K: -0.186 eV per atom
- N(E_F): 1.317 states/eV/atom
- Total magnetic moment: 11.60 μB per formula unit
- Distance to the lowest polymorph of the same formula: 0.000 eV/atom

Cell lengths 8.0584, 8.0584, 4.7150 Å; angles 90.00, 90.00, 90.00 degrees
Closest atoms and distances in Å follow each position.
Atoms (fractional coordinates):
Ho  0.0000  0.0000  0.0000  16 Ni 2.95-3.18, 4 Mn 3.22
Ho  0.5000  0.5000  0.0000  16 Ni 2.95-3.18, 4 Mn 3.22
Mn  0.1188  0.3812  0.0000  12 Ni 2.58-2.77, 1 Mn 2.71
Mn  0.3812  0.8812  0.0000  12 Ni 2.58-2.77, 1 Mn 2.71
Mn  0.6188  0.1188  0.0000  12 Ni 2.58-2.77, 1 Mn 2.71
Mn  0.8812  0.6188  0.0000  12 Ni 2.58-2.77, 1 Mn 2.71
Ni  0.0000  0.5000  0.5000  8 Ni 2.37-2.39
Ni  0.0631  0.2102  0.5000  8 Ni 2.39-2.58
Ni  0.1785  0.6785  0.2424  7 Ni 2.29-2.46
Ni  0.1785  0.6785  0.7576  7 Ni 2.29-2.46
Ni  0.2102  0.9369  0.5000  8 Ni 2.39-2.58
Ni  0.2898  0.4369  0.5000  8 Ni 2.39-2.58
Ni  0.3215  0.1785  0.2424  7 Ni 2.29-2.46
Ni  0.3215  0.1785  0.7576  7 Ni 2.29-2.46
Ni  0.4369  0.7102  0.5000  8 Ni 2.39-2.58
Ni  0.5000  0.0000  0.5000  8 Ni 2.37-2.39
Ni  0.5631  0.2898  0.5000  8 Ni 2.39-2.58
Ni  0.6785  0.8215  0.2424  7 Ni 2.29-2.46
Ni  0.6785  0.8215  0.7576  7 Ni 2.29-2.46
Ni  0.7102  0.5631  0.5000  8 Ni 2.39-2.58
Ni  0.7898  0.0631  0.5000  8 Ni 2.39-2.58
Ni  0.8215  0.3215  0.2424  7 Ni 2.29-2.46
Ni  0.8215  0.3215  0.7576  7 Ni 2.29-2.46
Ni  0.9369  0.7898  0.5000  8 Ni 2.39-2.58